Eu2DyAg: relaxed, PBE.

Output
- Calculated total energy: -6.9472 eV per atom
- D(E_F): 1.2886 states/eV per atom
- Energy relative to the elements: 0.0533 eV per atom
- Distance to the lowest polymorph of the same formula: 116.7 meV per atom

a b c (Å): 5.146 4.871 4.871
angles (deg): 90.00 90.00 90.00
Each line ends with the local moment (μB).
Element x y z (fractional)
Eu1 0.000 0.000 0.500  6.98
Eu2 0.000 0.500 0.000  6.98
Ag1 0.500 0.000 0.000  0.03
Dy1 0.500 0.500 0.500  0.36